Entry 1:
An optimized crystal structure of La2TaHO6, computed with PBE.

As for the crystal system: monoclinic.

Cell lengths 7.050, 6.787, 11.928 Å; angles 90.00, 121.73, 90.00 degrees
Space group P2_1/c (No. 14)
Asymmetric unit:
La (0.037, 0.232, 0.420) (multiplicity 4)
La (0.418, 0.078, 0.289) (multiplicity 4)
Ta (0.291, 0.653, 0.427) (multiplicity 4)
H (0.157, 0.107, 0.706) (multiplicity 4)
O (0.007, 0.075, 0.214) (multiplicity 4)
O (0.216, 0.115, 0.648) (multiplicity 4)
O (0.224, 0.547, 0.560) (multiplicity 4)
O (0.272, 0.583, 0.972) (multiplicity 4)
O (0.353, 0.733, 0.290) (multiplicity 4)
O (0.377, 0.152, 0.926) (multiplicity 4)

---

Entry 2:
An optimized crystal structure of LaH3Pd, computed with PBE.

As for the crystal system: cubic.

Cell lengths 3.824, 3.824, 3.824 Å; angles 90.00, 90.00, 90.00 degrees
Space group Pm-3m (No. 221)
Asymmetric unit:
La (0.000, 0.000, 0.000) (multiplicity 1)
H (0.000, 0.500, 0.500) (multiplicity 3)
Pd (0.500, 0.500, 0.500) (multiplicity 1)

---

Entry 3:
An optimized crystal structure of LaH3Pd, computed with PBE.

As for the crystal system: monoclinic.

Cell lengths 4.656, 4.159, 6.563 Å; angles 90.00, 93.63, 90.00 degrees
Space group P2/m (No. 10)
Asymmetric unit:
La (0.000, 0.000, 0.000) (multiplicity 1)
La (0.500, 0.500, 0.500) (multiplicity 1)
H (0.218, 0.500, 0.815) (multiplicity 2)
H (0.230, 0.500, 0.166) (multiplicity 2)
H (0.280, 0.000, 0.346) (multiplicity 2)
Pd (0.000, 0.000, 0.500) (multiplicity 1)
Pd (0.500, 0.500, 0.000) (multiplicity 1)

---

Entry 4:
An optimized crystal structure of LaH3Pd, computed with PBE.

As for the crystal system: monoclinic.

Cell lengths 12.111, 3.948, 5.005 Å; angles 90.00, 93.51, 90.00 degrees
Space group Cm (No. 8)
Asymmetric unit:
La (0.000, 0.000, 0.000) (multiplicity 2)
La (0.233, 0.500, 0.509) (multiplicity 2)
H (0.061, 0.500, 0.238) (multiplicity 2)
H (0.165, 0.000, 0.745) (multiplicity 2)
H (0.174, 0.000, 0.265) (multiplicity 2)
H (0.286, 0.500, 0.023) (multiplicity 2)
H (0.375, 0.000, 0.766) (multiplicity 2)
H (0.448, 0.500, 0.485) (multiplicity 2)
Pd (0.276, 0.000, 0.016) (multiplicity 2)
Pd (0.446, 0.000, 0.466) (multiplicity 2)

---

Entry 5:
An optimized crystal structure of LaPrH4, computed with PBE.

As for the crystal system: tetragonal.

Cell lengths 3.928, 3.928, 5.580 Å; angles 90.00, 90.00, 90.00 degrees
Space group P4/mmm (No. 123)
Asymmetric unit:
La (0.000, 0.000, 0.000) (multiplicity 1)
Pr (0.500, 0.500, 0.500) (multiplicity 1)
H (0.000, 0.500, 0.254) (multiplicity 4)

---

Entry 6:
An optimized crystal structure of LaH4Pt, computed with PBE.

As for the crystal system: monoclinic.

Cell lengths 6.314, 6.737, 4.273 Å; angles 90.00, 132.43, 90.00 degrees
Space group C2/m (No. 12)
Asymmetric unit:
La (0.000, 0.000, 0.000) (multiplicity 2)
H (0.234, 0.170, 0.733) (multiplicity 8)
Pt (0.000, 0.500, 0.000) (multiplicity 2)

---

Entry 7:
An optimized crystal structure of LaH12Pt4, computed with PBE.

As for the crystal system: cubic.

Cell lengths 7.104, 7.104, 7.104 Å; angles 90.00, 90.00, 90.00 degrees
Space group Im-3m (No. 229)
Asymmetric unit:
La (0.000, 0.000, 0.000) (multiplicity 2)
H (0.000, 0.261, 0.261) (multiplicity 24)
Pt (0.250, 0.250, 0.250) (multiplicity 8)

---

Entry 8:
An optimized crystal structure of LaHPt, computed with PBE.

As for the crystal system: monoclinic.

Cell lengths 11.640, 4.112, 4.621 Å; angles 90.00, 93.88, 90.00 degrees
Space group C2/m (No. 12)
Asymmetric unit:
La (0.130, 0.000, 0.255) (multiplicity 4)
H (0.189, 0.500, 0.997) (multiplicity 4)
Pt (0.082, 0.500, 0.726) (multiplicity 4)

---

Number 1: total DFT energy (no corrections) -338.60 eV/cell, total moment 0.000 μB/f.u.. Number 2: total DFT energy (no corrections) -22.81 eV/cell, total moment 0.005 μB/f.u.. Number 3: total DFT energy (no corrections) -45.24 eV/cell, total moment 0.006 μB/f.u.. Number 4: total DFT energy (no corrections) -91.66 eV/cell, total moment 0.000 μB/f.u.. Number 5: total DFT energy (no corrections) -26.96 eV/cell, total moment 0.012 μB/f.u.. Number 6: total DFT energy (no corrections) -55.47 eV/cell, total moment 0.002 μB/f.u.. Number 7: total DFT energy (no corrections) -146.65 eV/cell, total moment 0.001 μB/f.u.. Number 8: total DFT energy (no corrections) -68.06 eV/cell, total moment 0.001 μB/f.u..